1.
Here is crystalline CeZnGa2 at its relaxed geometry from the Alexandria database. Energies are from PBE.

Cell: 4.284 4.368 4.368 Å, 90.00 90.00 90.00°
Last column: magnetic moment on the atom in μB.
Element x y z (fractional)
Zn1 0.500 0.000 0.000  0.00
Ga1 0.000 0.000 0.500  0.00
Ga2 0.000 0.500 0.000  0.00
Ce1 0.500 0.500 0.500  0.17

Calculated values
ρ in g cm⁻³: 7.01
Energy of formation in eV per formula unit: -1.499
Raw total energy in eV per atom: -3.69

***

2.
Here is crystalline RbCuC2O at its relaxed geometry from the Alexandria database. Energies are from PBE.

Cell: 4.642 5.429 4.642 Å, 90.00 90.00 90.00°
Element x y z (fractional)
O1 0.500 0.500 0.500
C1 0.000 0.000 0.500
C2 0.500 0.000 0.000
Cu1 0.000 0.500 0.000
Rb1 0.000 0.000 0.000

Calculated values
ρ in g cm⁻³: 2.68
Formation energy (no corrections) in meV/atom: 3987
Raw total energy in eV per atom: -1.71

***

3.
Here is crystalline GaTe2RhN at its relaxed geometry from the Alexandria database. Energies are from PBE.

Cell: 5.508 5.508 3.471 Å, 90.00 90.00 90.00°
Last column: magnetic moment on the atom in μB.
Element x y z (fractional)
Te1 0.000 0.500 0.000  0.05
Te2 0.500 0.000 0.000  0.05
Rh1 0.500 0.500 0.500  0.08
Ga1 0.000 0.000 0.000  0.01
N1 0.000 0.000 0.500  0.24

Calculated values
ρ in g cm⁻³: 6.97
Formation energy (no corrections) in meV/atom: 861
Raw total energy in eV per atom: -4.14

***

4.
Here is crystalline ErScCo4 at its relaxed geometry from the Alexandria database. Energies are from PBE.

Cell: 4.961 4.961 4.961 Å, 60.00 60.00 60.00°
Last column: magnetic moment on the atom in μB.
Element x y z (fractional)
Sc1 0.000 0.000 0.000  -0.31
Co1 0.625 0.625 0.124  1.16
Co2 0.625 0.124 0.625  1.16
Co3 0.625 0.625 0.625  1.16
Co4 0.124 0.625 0.625  1.16
Er1 0.250 0.250 0.250  -0.39

Calculated values
ρ in g cm⁻³: 8.62
Energy of formation in eV per formula unit: -1.757
Raw total energy in eV per atom: -6.85

***

5.
Here is crystalline RbTi2GaTc at its relaxed geometry from the Alexandria database. Energies are from PBE.

Cell: 4.834 4.834 5.144 Å, 90.00 90.00 90.00°
Element x y z (fractional)
Ga1 0.000 0.000 0.500
Tc1 0.000 0.000 0.000
Rb1 0.500 0.500 0.500
Ti1 0.000 0.500 0.000
Ti2 0.500 0.000 0.000

Calculated values
ρ in g cm⁻³: 4.82
Energy of formation in eV per formula unit: 2.439
Raw total energy in eV per atom: -5.54

***

6.
Here is crystalline BaZn2Cd at its relaxed geometry from the Alexandria database. Energies are from PBE.

Cell: 4.972 4.972 4.669 Å, 90.02 90.02 89.99°
Element x y z (fractional)
Ba1 0.500 0.000 0.500
Cd1 0.000 0.500 0.500
Zn1 0.000 0.000 0.000
Zn2 0.500 0.500 0.000

Calculated values
ρ in g cm⁻³: 5.47
Energy of formation in eV per formula unit: 0.069
Raw total energy in eV per atom: -1.33

***

7.
Here is crystalline ZrTiNb at its relaxed geometry from the Alexandria database. Energies are from PBE.

Cell: 3.026 3.026 7.668 Å, 78.62 78.62 60.00°
Element x y z (fractional)
Zr1 0.331 0.331 0.008
Nb1 0.547 0.547 0.360
Ti1 0.108 0.108 0.676

Calculated values
ρ in g cm⁻³: 6.50
Energy of formation in eV per formula unit: 0.512
Raw total energy in eV per atom: -8.67

***

8.
Here is crystalline Nb2Pd3Pt3 at its relaxed geometry from the Alexandria database. Energies are from PBE.

Cell: 5.085 5.085 5.085 Å, 85.77 85.77 94.23°
Element x y z (fractional)
Nb1 0.273 0.273 0.727
Nb2 0.727 0.727 0.273
Pd1 0.260 0.740 0.000
Pd2 0.000 0.260 0.260
Pd3 0.740 0.000 0.740
Pt1 0.207 0.793 0.500
Pt2 0.500 0.207 0.207
Pt3 0.793 0.500 0.793

Calculated values
ρ in g cm⁻³: 13.89
Energy of formation in eV per formula unit: -3.872
Raw total energy in eV per atom: -7.21

***

> Look up the ρ of the third one.

6.97 g cm⁻³

***

> Among the records above, which one has the highest ρ?

Nb2Pd3Pt3

***

> The highest raw total energy belongs to which entry?

BaZn2Cd